First-principles (PBE) data for crystalline K3Tm at its relaxed geometry, as listed in Alexandria.

```
K3Tm
1.0
-4.730 1.004 -3.614
-3.281 -3.926 3.203
-1.818 4.474 3.622
K Tm
3 1
Direct
0.000 0.500 0.500
0.500 0.000 0.500
0.500 0.500 0.000
0.000 0.000 0.000
```

distance to the lowest polymorph of the same formula	1.9	meV per atom